! SmTmTeC | the Alexandria database | PBE | relaxed; values from VASP
! V   90.5 Å³/f.u.
! Raw total energy   -24.79 eV per cell
! ΔE_f (raw)   -78.1 kJ/mol of atoms
&SYSTEM
  ibrav = 0, nat = 4, ntyp = 4
/
ATOMIC_SPECIES
Sm 150.36 Sm.upf
Tm 168.93 Tm.upf
C 12.01 C.upf
Te 127.60 Te.upf
CELL_PARAMETERS angstrom
3.828 -0.001 0.000
-1.914 3.316 0.000
-1.914 -1.105 7.134
ATOMIC_POSITIONS crystal
Sm 0.512 0.154 0.682
Tm 0.094 0.945 0.055
C 0.309 0.552 0.877
Te 0.962 0.379 0.356